# 1
# GeICl

Crystalline GeICl at its relaxed geometry (GGA-PBE, Alexandria).

Properties
DFT total energy (eV per atom): -3.200
E_form (uncorrected) (eV/atom): -0.53

a b c (Å): 4.1245 4.1245 15.0064
angles (deg): 100.79 100.79 60.11
Element x y z (fractional)
Ge 0.0000 0.0000 0.0000
Ge 0.2159 0.2159 0.4665
I 0.6057 0.6057 0.8744
I 0.9362 0.9362 0.5921
Cl 0.3705 0.3705 0.0917
Cl 0.5033 0.5033 0.3749



# 2
# InGeI2Cl

Crystalline InGeI2Cl at its relaxed geometry (GGA-PBE, Alexandria).

Properties
DFT total energy (eV per atom): -1.963
E_form (uncorrected) (eV/atom): 0.50
Polymorph energy (0 for the lowest one) (meV per atom): 950

a b c (Å): 6.0816 6.0816 5.5358
angles (deg): 90.00 90.00 90.00
Element x y z (fractional)
In 0.0000 0.0000 0.0000
Ge 0.5000 0.5000 0.0000
I 0.0000 0.5000 0.5000
I 0.5000 0.0000 0.5000
Cl 0.0000 0.0000 0.5000



no.,theoretical density (kg/m3)
1,3612
2,3866